DFT (PBE) results for a relaxed structure of ErMnC2.

a = 3.2229 Å, b = 3.2229 Å, c = 15.3859 Å
α = 90.00°, β = 90.00°, γ = 120.00°
Space group R-3m (No. 166, hexagonal axes)
Asymmetric unit:
Er: 0.0000 0.0000 0.0000
Mn: 0.0000 0.0000 0.5000
C: 0.0000 0.0000 0.2325

Computed properties:
calculated formation energy	0.1027	eV per atom
V	138	Å³/cell
total energy	-0.2919	hartree per atom